Ca3In8Ag3, relaxed, DFT PBE; total moment = 0.00 μB/f.u.; final energy = -2.897 eV per atom; ρ = 6.49 Mg/m³; ΔE_f = -28 kJ per mole of atoms
1.0
4.8319 0.0000 0.0000
2.4160 8.6037 -0.2101
2.4160 2.1403 8.3359
Ca In Ag
3 8 3
direct
0.7920 0.2080 0.2080 Ca
0.5000 0.5000 0.5000 Ca
0.2080 0.7920 0.7920 Ca
0.1447 0.4917 0.2189 In
0.1447 0.2189 0.4917 In
0.6346 0.6571 0.0738 In
0.8553 0.5083 0.7811 In
0.3654 0.3429 0.9262 In
0.8553 0.7811 0.5083 In
0.6346 0.0738 0.6571 In
0.3654 0.9262 0.3429 In
0.0000 0.1544 0.8456 Ag
0.0000 0.8456 0.1544 Ag
0.5000 0.0000 0.0000 Ag